Entry 1:
Material: KMoCl3
Method: DFT, PBE
State: relaxed

Structure (CIF):
```
data_KMoCl3
_chemical_formula_sum 'K4 Mo4 Cl12'
_cell_length_a 15.503
_cell_length_b 3.816
_cell_length_c 8.562
_cell_angle_alpha 90.00
_cell_angle_beta 100.13
_cell_angle_gamma 90.00
_symmetry_space_group_name_H-M 'C 1 2/m 1'
_symmetry_Int_Tables_number 12
loop_
_symmetry_equiv_pos_as_xyz
'x,y,z'
'-x,-y,-z'
'-x,y,-z'
'x,-y,z'
'x+1/2,y+1/2,z'
'-x+1/2,-y+1/2,-z'
'-x+1/2,y+1/2,-z'
'x+1/2,-y+1/2,z'
loop_
_atom_site_label
_atom_site_fract_x
_atom_site_fract_y
_atom_site_fract_z
_atom_site_occupancy
K1 0.099 0.000 0.393 1
Mo1 0.211 0.500 0.883 1
Cl1 0.068 0.500 0.683 1
Cl2 0.139 0.000 0.992 1
Cl3 0.245 0.500 0.297 1
```

Values from the calculation:
Formation energy (no corrections) ... -1003.1 meV/atom
ΔE to the lowest computed polymorph ... 0.000 eV per atom

---

Entry 2:
Material: HfCrSb3
Method: DFT, PBE
State: relaxed

Structure (CIF):
```
data_HfCrSb3
_chemical_formula_sum 'Hf1 Cr1 Sb3'
_cell_length_a 5.482
_cell_length_b 5.482
_cell_length_c 5.482
_cell_angle_alpha 90.00
_cell_angle_beta 90.00
_cell_angle_gamma 90.00
_symmetry_space_group_name_H-M 'P m -3 m'
_symmetry_Int_Tables_number 221
_symmetry_space_group_name_Hall '-P 4 2 3'
loop_
_atom_site_label
_atom_site_fract_x
_atom_site_fract_y
_atom_site_fract_z
_atom_site_occupancy
Hf1 0.000 0.000 0.000 1
Cr1 0.500 0.500 0.500 1
Sb1 0.000 0.000 0.500 1
```

Values from the calculation:
Formation energy (no corrections) ... 649.0 meV/atom
ΔE to the lowest computed polymorph ... 0.000 eV per atom

---

Entry 3:
Material: MgTaRh4
Method: DFT, PBE
State: relaxed

Structure (CIF):
```
data_MgTaRh4
_chemical_formula_sum 'Mg2 Ta2 Rh8'
_cell_length_a 9.376
_cell_length_b 3.543
_cell_length_c 5.822
_cell_angle_alpha 90.00
_cell_angle_beta 108.56
_cell_angle_gamma 90.00
_symmetry_space_group_name_H-M 'C 1 2/m 1'
_symmetry_Int_Tables_number 12
loop_
_symmetry_equiv_pos_as_xyz
'x,y,z'
'-x,-y,-z'
'-x,y,-z'
'x,-y,z'
'x+1/2,y+1/2,z'
'-x+1/2,-y+1/2,-z'
'-x+1/2,y+1/2,-z'
'x+1/2,-y+1/2,z'
loop_
_atom_site_label
_atom_site_fract_x
_atom_site_fract_y
_atom_site_fract_z
_atom_site_occupancy
Mg1 0.000 0.000 0.000 1
Ta1 0.000 0.000 0.500 1
Rh1 0.157 0.500 0.825 1
Rh2 0.158 0.500 0.330 1
```

Values from the calculation:
ΔE to the lowest computed polymorph ... 0.000 eV per atom
Formation energy from the elements ... -0.31 eV per atom

---

Entry 4:
Material: Na6Al3H14
Method: DFT, PBE
State: relaxed

Structure (CIF):
```
data_Na6Al3H14
_chemical_formula_sum 'Na6 Al3 H14'
_cell_length_a 8.5633
_cell_length_b 8.5633
_cell_length_c 4.5101
_cell_angle_alpha 90.00
_cell_angle_beta 90.00
_cell_angle_gamma 120.00
_symmetry_space_group_name_H-M 'P 3'
_symmetry_Int_Tables_number 143
loop_
_symmetry_equiv_pos_as_xyz
'x,y,z'
'-y,x-y,z'
'-x+y,-x,z'
loop_
_atom_site_label
_atom_site_fract_x
_atom_site_fract_y
_atom_site_fract_z
_atom_site_occupancy
Na1 0.0079 0.4232 0.0000 1
Na2 0.3167 0.2434 0.4606 1
Al1 0.0000 0.0000 0.0211 1
Al2 0.3333 0.6667 0.5491 1
Al3 0.6667 0.3333 0.7011 1
H1 0.0000 0.0000 0.6582 1
H2 0.0797 0.2048 0.1541 1
H3 0.2142 0.7551 0.6729 1
H4 0.3333 0.6667 0.1839 1
H5 0.4675 0.2798 0.9192 1
H6 0.5215 0.1341 0.4860 1
```

Values from the calculation:
Raw total energy ... -68.50 eV/f.u.

---

Entry 5:
Material: TbThRu4
Method: DFT, PBE
State: relaxed

Structure (CIF):
```
data_TbThRu4
_chemical_formula_sum 'Tb4 Th4 Ru16'
_cell_length_a 7.627
_cell_length_b 7.627
_cell_length_c 7.627
_cell_angle_alpha 90.00
_cell_angle_beta 90.00
_cell_angle_gamma 90.00
_symmetry_space_group_name_H-M 'F -4 3 m'
_symmetry_Int_Tables_number 216
_symmetry_space_group_name_Hall 'F -4 2 3'
loop_
_atom_site_label
_atom_site_fract_x
_atom_site_fract_y
_atom_site_fract_z
_atom_site_occupancy
Tb1 0.000 0.000 0.000 1
Th1 0.250 0.250 0.250 1
Ru1 0.125 0.125 0.625 1
```

Values from the calculation:
Formation energy from the elements ... -0.29 eV per atom

---

Entry 6:
Material: TcPS
Method: DFT, PBE
State: relaxed

Structure (CIF):
```
data_TcPS
_chemical_formula_sum 'Tc4 P4 S4'
_cell_length_a 14.029
_cell_length_b 3.099
_cell_length_c 5.410
_cell_angle_alpha 90.00
_cell_angle_beta 97.16
_cell_angle_gamma 90.00
_symmetry_space_group_name_H-M 'C 1 m 1'
_symmetry_Int_Tables_number 8
loop_
_symmetry_equiv_pos_as_xyz
'x,y,z'
'x,-y,z'
'x+1/2,y+1/2,z'
'x+1/2,-y+1/2,z'
loop_
_atom_site_label
_atom_site_fract_x
_atom_site_fract_y
_atom_site_fract_z
_atom_site_occupancy
Tc1 0.000 0.000 0.000 1
Tc2 0.008 0.500 0.503 1
P1 0.120 0.500 0.878 1
P2 0.388 0.500 0.303 1
S1 0.117 0.000 0.361 1
S2 0.391 0.000 0.788 1
```

Values from the calculation:
Formation energy (no corrections) ... -379.0 meV/atom
ΔE to the lowest computed polymorph ... 0.150 eV per atom

---

Entry 7:
Material: RbY3Ni
Method: DFT, PBE
State: relaxed

Structure (CIF):
```
data_RbY3Ni
_chemical_formula_sum 'Rb1 Y3 Ni1'
_cell_length_a 5.512
_cell_length_b 5.512
_cell_length_c 5.512
_cell_angle_alpha 90.00
_cell_angle_beta 90.00
_cell_angle_gamma 90.00
_symmetry_space_group_name_H-M 'P m -3 m'
_symmetry_Int_Tables_number 221
_symmetry_space_group_name_Hall '-P 4 2 3'
loop_
_atom_site_label
_atom_site_fract_x
_atom_site_fract_y
_atom_site_fract_z
_atom_site_occupancy
Rb1 0.000 0.000 0.000 1
Y1 0.000 0.500 0.500 1
Ni1 0.500 0.500 0.500 1
```

Values from the calculation:
ΔE to the lowest computed polymorph ... 0.000 eV per atom
Formation energy from the elements ... 0.18 eV per atom

---

Entry 8:
Material: Mg2CuMo
Method: DFT, PBE
State: relaxed

Structure (CIF):
```
data_Mg2CuMo
_chemical_formula_sum 'Mg8 Cu4 Mo4'
_cell_length_a 6.447
_cell_length_b 6.447
_cell_length_c 6.447
_cell_angle_alpha 90.00
_cell_angle_beta 90.00
_cell_angle_gamma 90.00
_symmetry_space_group_name_H-M 'F m -3 m'
_symmetry_Int_Tables_number 225
_symmetry_space_group_name_Hall '-F 4 2 3'
loop_
_atom_site_label
_atom_site_fract_x
_atom_site_fract_y
_atom_site_fract_z
_atom_site_occupancy
Mg1 0.250 0.250 0.250 1
Cu1 0.000 0.000 0.000 1
Mo1 0.000 0.000 0.500 1
```

Values from the calculation:
ΔE to the lowest computed polymorph ... 0.301 eV per atom
Formation energy from the elements ... 0.46 eV per atom

---

Entry 9:
Material: Dy3Ho2ScSe6
Method: DFT, PBE
State: relaxed

Structure (CIF):
```
data_Dy3Ho2ScSe6
_chemical_formula_sum 'Dy6 Ho4 Sc2 Se12'
_cell_length_a 17.589
_cell_length_b 4.027
_cell_length_c 8.106
_cell_angle_alpha 90.00
_cell_angle_beta 103.49
_cell_angle_gamma 90.00
_symmetry_space_group_name_H-M 'C 1 2/m 1'
_symmetry_Int_Tables_number 12
loop_
_symmetry_equiv_pos_as_xyz
'x,y,z'
'-x,-y,-z'
'-x,y,-z'
'x,-y,z'
'x+1/2,y+1/2,z'
'-x+1/2,-y+1/2,-z'
'-x+1/2,y+1/2,-z'
'x+1/2,-y+1/2,z'
loop_
_atom_site_label
_atom_site_fract_x
_atom_site_fract_y
_atom_site_fract_z
_atom_site_occupancy
Dy1 0.000 0.000 0.000 1
Dy2 0.169 0.500 0.335 1
Ho1 0.166 0.500 0.832 1
Sc1 0.000 0.000 0.500 1
Se1 0.001 0.500 0.260 1
Se2 0.162 0.000 0.582 1
Se3 0.167 0.000 0.082 1
```

Values from the calculation:
Formation energy (no corrections) ... -1708.3 meV/atom

---

Entry 10:
Material: NaTc4O12
Method: DFT, PBE
State: relaxed

Structure (CIF):
```
data_NaTc4O12
_chemical_formula_sum 'Na2 Tc8 O24'
_cell_length_a 7.616
_cell_length_b 7.616
_cell_length_c 7.616
_cell_angle_alpha 90.00
_cell_angle_beta 90.00
_cell_angle_gamma 90.00
_symmetry_space_group_name_H-M 'I m -3'
_symmetry_Int_Tables_number 204
_symmetry_space_group_name_Hall '-I 2 2 3'
loop_
_atom_site_label
_atom_site_fract_x
_atom_site_fract_y
_atom_site_fract_z
_atom_site_occupancy
Na1 0.000 0.000 0.000 1
Tc1 0.250 0.250 0.250 1
O1 0.000 0.250 0.247 1
```

Values from the calculation:
Formation energy (no corrections) ... -1379.4 meV/atom

---

Entry 11:
Material: Ag2TeHW
Method: DFT, PBE
State: relaxed

Structure (CIF):
```
data_Ag2TeHW
_chemical_formula_sum 'Ag2 Te1 H1 W1'
_cell_length_a 5.288
_cell_length_b 5.288
_cell_length_c 5.099
_cell_angle_alpha 90.00
_cell_angle_beta 90.00
_cell_angle_gamma 90.00
_symmetry_space_group_name_H-M 'P 4/m m m'
_symmetry_Int_Tables_number 123
_symmetry_space_group_name_Hall '-P 4 2'
loop_
_atom_site_label
_atom_site_fract_x
_atom_site_fract_y
_atom_site_fract_z
_atom_site_occupancy
Ag1 0.000 0.500 0.000 1
Te1 0.000 0.000 0.500 1
H1 0.500 0.500 0.500 1
W1 0.000 0.000 0.000 1
```

Values from the calculation:
Raw total energy ... -18.06 eV/f.u.

---

Entry 12:
Material: KCoPd3
Method: DFT, PBE
State: relaxed

Structure (CIF):
```
data_KCoPd3
_chemical_formula_sum 'K1 Co1 Pd3'
_cell_length_a 4.743
_cell_length_b 4.743
_cell_length_c 4.743
_cell_angle_alpha 90.00
_cell_angle_beta 90.00
_cell_angle_gamma 90.00
_symmetry_space_group_name_H-M 'P m -3 m'
_symmetry_Int_Tables_number 221
_symmetry_space_group_name_Hall '-P 4 2 3'
loop_
_atom_site_label
_atom_site_fract_x
_atom_site_fract_y
_atom_site_fract_z
_atom_site_occupancy
K1 0.000 0.000 0.000 1
Co1 0.500 0.500 0.500 1
Pd1 0.000 0.500 0.500 1
```

Values from the calculation:
ΔE to the lowest computed polymorph ... 0.000 eV per atom
Formation energy from the elements ... 0.46 eV per atom

---

| no. | calculated density (g/cm3) |
| --- | --- |
| 1 | 3.22 |
| 2 | 6.00 |
| 3 | 11.18 |
| 4 | 1.35 |
| 5 | 11.91 |
| 6 | 4.58 |
| 7 | 4.07 |
| 8 | 5.16 |
| 9 | 7.95 |
| 10 | 4.56 |
| 11 | 6.15 |
| 12 | 6.50 |